The following is a DFT calculation (PBE-GGA) of a relaxed CoBiBr2 crystal.

a = 3.6855 Å, b = 3.6855 Å, c = 26.6936 Å
α = 90.00°, β = 90.00°, γ = 120.00°
Closest atoms and distances in Å follow each position.
Space group R-3m (No. 166, hexagonal axes)
Unique sites:
Co  0.0000  0.0000  0.0000 x3  6 Br 2.57
Bi  0.0000  0.0000  0.5000 x3  2 Br 3.01
Br  0.0000  0.0000  0.3872 x6  3 Co 2.57

Calculated values
DFT total energy: -3.65 eV/atom
E_form (uncorrected): -6.5 kJ/mol of atoms
M_tot: 6.4 μB per cell
ΔE to the lowest computed polymorph: 0.000 eV per atom
Density: 6786 kg/m3